Computed, not measured: a relaxed ZnNi2Ir crystal at the PBEsol level of DFT.

Spin magnetization = 0.69 μB per formula unit
Formation energy = -58 meV per atom

a = 3.673 Å, b = 3.673 Å, c = 7.110 Å
α = 90.00°, β = 90.00°, γ = 90.00°
Space group I4/mmm (No. 139)
Asymmetric unit:
Zn 0.000 0.000 0.000 (multiplicity 2)
Ni 0.000 0.500 0.250 (multiplicity 4)
Ir 0.000 0.000 0.500 (multiplicity 2)



Computed, not measured: a relaxed ThAs8O18 crystal at the PBEsol level of DFT.

Energy relative to the elements, uncorrected = -39.98 eV per formula unit
Spin magnetization = 0.00 μB per formula unit

a = 18.155 Å, b = 5.224 Å, c = 17.314 Å
α = 90.00°, β = 98.61°, γ = 90.00°
Space group C2/c (No. 15)
Asymmetric unit:
Th 0.000 0.225 0.250 (multiplicity 4)
As 0.003 0.270 0.593 (multiplicity 8)
As 0.124 0.318 0.477 (multiplicity 8)
As 0.150 0.278 0.777 (multiplicity 8)
As 0.187 0.361 0.136 (multiplicity 8)
O 0.033 0.019 0.865 (multiplicity 8)
O 0.047 0.495 0.150 (multiplicity 8)
O 0.066 0.138 0.537 (multiplicity 8)
O 0.069 0.385 0.977 (multiplicity 8)
O 0.095 0.498 0.310 (multiplicity 8)
O 0.107 0.019 0.734 (multiplicity 8)
O 0.193 0.423 0.555 (multiplicity 8)
O 0.210 0.403 0.716 (multiplicity 8)
O 0.212 0.200 0.861 (multiplicity 8)



Listing N(E_F) for the structures above in their given order: 9.8 0.0 states/eV per cell.